(1)
{
  "formula": "TmMoOs",
  "functional": "PBE",
  "state": "relaxed",
  "lattice_angstrom": [[6.322, 0.000, 0.000], [0.000, 6.322, 0.000], [0.000, 0.000, 6.322]],
  "species": ["Tm", "Tm", "Tm", "Tm", "Mo", "Mo", "Mo", "Mo", "Os", "Os", "Os", "Os"],
  "frac_coords": [[0.000, 0.000, 0.000], [0.000, 0.500, 0.500], [0.500, 0.000, 0.500], [0.500, 0.500, 0.000], [0.250, 0.250, 0.750], [0.250, 0.750, 0.250], [0.750, 0.250, 0.250], [0.750, 0.750, 0.750], [0.250, 0.250, 0.250], [0.250, 0.750, 0.750], [0.750, 0.250, 0.750], [0.750, 0.750, 0.250]],
  "ef_ev_per_atom": 1.50,
  "e_tot_ev_per_atom": -7.347,
  "spacegroup": "F-43m (216)"
}


(2)
{
  "formula": "CoNiSb",
  "functional": "PBE",
  "state": "relaxed",
  "lattice_angstrom": [[6.449, 0.000, 0.000], [-3.225, 5.585, 0.000], [0.000, 0.000, 3.646]],
  "species": ["Co", "Co", "Co", "Ni", "Ni", "Ni", "Sb", "Sb", "Sb"],
  "frac_coords": [[0.000, 0.258, 0.000], [0.258, 0.000, 0.000], [0.742, 0.742, 0.000], [0.000, 0.600, 0.500], [0.400, 0.400, 0.500], [0.600, 0.000, 0.500], [0.000, 0.000, 0.500], [0.333, 0.667, 0.000], [0.667, 0.333, 0.000]],
  "e_tot_ev_per_atom": -5.584,
  "spacegroup": "P-62m (189)"
}


(3)
{
  "formula": "LaHoPa",
  "functional": "PBE",
  "state": "relaxed",
  "lattice_angstrom": [[7.452, 0.000, 0.000], [0.000, 7.452, 0.000], [0.000, 0.000, 7.452]],
  "species": ["La", "La", "La", "La", "Ho", "Ho", "Ho", "Ho", "Pa", "Pa", "Pa", "Pa"],
  "frac_coords": [[0.000, 0.000, 0.000], [0.000, 0.500, 0.500], [0.500, 0.000, 0.500], [0.500, 0.500, 0.000], [0.250, 0.250, 0.250], [0.250, 0.750, 0.750], [0.750, 0.250, 0.750], [0.750, 0.750, 0.250], [0.000, 0.000, 0.500], [0.000, 0.500, 0.000], [0.500, 0.000, 0.000], [0.500, 0.500, 0.500]],
  "ef_ev_per_atom": 1.05,
  "e_tot_ev_per_atom": -5.282,
  "de_polymorph_mev_per_atom": 0.0,
  "spacegroup": "F-43m (216)"
}


(4)
{
  "formula": "HfNi2B",
  "functional": "PBE",
  "state": "relaxed",
  "lattice_angstrom": [[5.777, 0.000, 0.000], [0.000, 5.777, 0.000], [0.000, 0.000, 5.777]],
  "species": ["Hf", "Hf", "Hf", "Hf", "Ni", "Ni", "Ni", "Ni", "Ni", "Ni", "Ni", "Ni", "B", "B", "B", "B"],
  "frac_coords": [[0.000, 0.000, 0.000], [0.000, 0.500, 0.500], [0.500, 0.000, 0.500], [0.500, 0.500, 0.000], [0.000, 0.000, 0.500], [0.000, 0.500, 0.000], [0.250, 0.250, 0.250], [0.250, 0.750, 0.750], [0.500, 0.000, 0.000], [0.500, 0.500, 0.500], [0.750, 0.250, 0.750], [0.750, 0.750, 0.250], [0.250, 0.250, 0.750], [0.250, 0.750, 0.250], [0.750, 0.250, 0.250], [0.750, 0.750, 0.750]],
  "e_tot_ev_per_atom": -7.011,
  "spacegroup": "F-43m (216)"
}


(5)
{
  "formula": "KNaCoTc",
  "functional": "PBE",
  "state": "relaxed",
  "lattice_angstrom": [[7.207, 0.000, 0.000], [0.000, 7.207, 0.000], [0.000, 0.000, 7.207]],
  "species": ["K", "K", "K", "K", "Na", "Na", "Na", "Na", "Co", "Co", "Co", "Co", "Tc", "Tc", "Tc", "Tc"],
  "frac_coords": [[0.000, 0.000, 0.000], [0.000, 0.500, 0.500], [0.500, 0.000, 0.500], [0.500, 0.500, 0.000], [0.000, 0.000, 0.500], [0.000, 0.500, 0.000], [0.500, 0.000, 0.000], [0.500, 0.500, 0.500], [0.250, 0.250, 0.250], [0.250, 0.750, 0.750], [0.750, 0.250, 0.750], [0.750, 0.750, 0.250], [0.250, 0.250, 0.750], [0.250, 0.750, 0.250], [0.750, 0.250, 0.250], [0.750, 0.750, 0.750]],
  "e_tot_ev_per_atom": -3.246,
  "de_polymorph_mev_per_atom": 372.6,
  "spacegroup": "F-43m (216)"
}


(6)
{
  "formula": "CdGe2Ir2",
  "functional": "PBE",
  "state": "relaxed",
  "lattice_angstrom": [[4.074, 0.000, 0.000], [-2.037, 3.528, 0.000], [0.000, 0.000, 12.966]],
  "species": ["Cd", "Cd", "Ge", "Ge", "Ge", "Ge", "Ir", "Ir", "Ir", "Ir"],
  "frac_coords": [[0.000, 0.000, 0.250], [0.000, 0.000, 0.750], [0.333, 0.667, 0.069], [0.333, 0.667, 0.431], [0.667, 0.333, 0.569], [0.667, 0.333, 0.931], [0.333, 0.667, 0.624], [0.333, 0.667, 0.876], [0.667, 0.333, 0.124], [0.667, 0.333, 0.376]],
  "e_tot_ev_per_atom": -5.704,
  "spacegroup": "P6_3/mmc (194)"
}


(7)
{
  "formula": "PrThHg",
  "functional": "PBE",
  "state": "relaxed",
  "lattice_angstrom": [[7.419, 0.000, 0.000], [0.000, 7.419, 0.000], [0.000, 0.000, 7.419]],
  "species": ["Pr", "Pr", "Pr", "Pr", "Th", "Th", "Th", "Th", "Hg", "Hg", "Hg", "Hg"],
  "frac_coords": [[0.000, 0.000, 0.000], [0.000, 0.500, 0.500], [0.500, 0.000, 0.500], [0.500, 0.500, 0.000], [0.000, 0.000, 0.500], [0.000, 0.500, 0.000], [0.500, 0.000, 0.000], [0.500, 0.500, 0.500], [0.250, 0.250, 0.250], [0.250, 0.750, 0.750], [0.750, 0.250, 0.750], [0.750, 0.750, 0.250]],
  "ef_ev_per_atom": 0.09,
  "e_tot_ev_per_atom": -4.069,
  "de_polymorph_mev_per_atom": 0.0,
  "spacegroup": "F-43m (216)"
}


(8)
{
  "formula": "Li2Mg2CdGePt2",
  "functional": "PBE",
  "state": "relaxed",
  "lattice_angstrom": [[4.477, 0.000, 0.000], [0.000, 4.477, 0.000], [0.000, 0.000, 6.400]],
  "species": ["Li", "Li", "Mg", "Mg", "Cd", "Ge", "Pt", "Pt"],
  "frac_coords": [[0.000, 0.500, 0.238], [0.500, 0.000, 0.762], [0.000, 0.000, 0.000], [0.500, 0.500, 0.500], [0.000, 0.000, 0.500], [0.500, 0.500, 0.000], [0.000, 0.500, 0.776], [0.500, 0.000, 0.224]],
  "e_tot_ev_per_atom": -3.667,
  "spacegroup": "P-4m2 (115)"
}


(9)
{
  "formula": "Pm3SmP4",
  "functional": "PBE",
  "state": "relaxed",
  "lattice_angstrom": [[8.248, 0.000, 0.000], [0.000, 11.664, 0.000], [0.000, 0.000, 4.126]],
  "species": ["Pm", "Pm", "Pm", "Pm", "Pm", "Pm", "Sm", "Sm", "P", "P", "P", "P", "P", "P", "P", "P"],
  "frac_coords": [[0.000, 0.000, 0.000], [0.250, 0.250, 0.500], [0.250, 0.750, 0.500], [0.500, 0.500, 0.000], [0.750, 0.250, 0.500], [0.750, 0.750, 0.500], [0.000, 0.500, 0.000], [0.500, 0.000, 0.000], [0.000, 0.251, 0.000], [0.000, 0.749, 0.000], [0.249, 0.500, 0.500], [0.251, 0.000, 0.500], [0.500, 0.249, 0.000], [0.500, 0.751, 0.000], [0.749, 0.000, 0.500], [0.751, 0.500, 0.500]],
  "e_tot_ev_per_atom": -6.642,
  "spacegroup": "Cmmm (65)"
}


(10)
{
  "formula": "ZrTlCoCu",
  "functional": "PBE",
  "state": "relaxed",
  "lattice_angstrom": [[6.474, 0.000, 0.000], [0.000, 6.474, 0.000], [0.000, 0.000, 6.474]],
  "species": ["Zr", "Zr", "Zr", "Zr", "Tl", "Tl", "Tl", "Tl", "Co", "Co", "Co", "Co", "Cu", "Cu", "Cu", "Cu"],
  "frac_coords": [[0.000, 0.000, 0.000], [0.000, 0.500, 0.500], [0.500, 0.000, 0.500], [0.500, 0.500, 0.000], [0.250, 0.250, 0.250], [0.250, 0.750, 0.750], [0.750, 0.250, 0.750], [0.750, 0.750, 0.250], [0.000, 0.000, 0.500], [0.000, 0.500, 0.000], [0.500, 0.000, 0.000], [0.500, 0.500, 0.500], [0.250, 0.250, 0.750], [0.250, 0.750, 0.250], [0.750, 0.250, 0.250], [0.750, 0.750, 0.750]],
  "e_tot_ev_per_atom": -5.210,
  "de_polymorph_mev_per_atom": 201.8,
  "spacegroup": "F-43m (216)"
}


(11)
{
  "formula": "NdHo2Ga3Ge2Pt",
  "functional": "PBE",
  "state": "relaxed",
  "lattice_angstrom": [[4.253, 0.000, 0.000], [0.000, 6.176, 3.515], [0.000, -6.176, 3.515]],
  "species": ["Nd", "Ho", "Ho", "Ga", "Ga", "Ga", "Ge", "Ge", "Pt"],
  "frac_coords": [[0.000, 0.000, 0.000], [0.000, 0.411, 0.822], [0.000, 0.822, 0.411], [0.500, 0.180, 0.415], [0.500, 0.415, 0.180], [0.500, 0.651, 0.651], [0.500, 0.084, 0.740], [0.500, 0.740, 0.084], [0.000, 0.426, 0.426]],
  "e_tot_ev_per_atom": -5.076,
  "spacegroup": "Amm2 (38)"
}


(12)
{
  "formula": "ZnNiOsPd",
  "functional": "PBE",
  "state": "relaxed",
  "lattice_angstrom": [[6.058, 0.000, 0.000], [0.000, 6.058, 0.000], [0.000, 0.000, 6.058]],
  "species": ["Zn", "Zn", "Zn", "Zn", "Ni", "Ni", "Ni", "Ni", "Os", "Os", "Os", "Os", "Pd", "Pd", "Pd", "Pd"],
  "frac_coords": [[0.000, 0.000, 0.000], [0.000, 0.500, 0.500], [0.500, 0.000, 0.500], [0.500, 0.500, 0.000], [0.250, 0.250, 0.250], [0.250, 0.750, 0.750], [0.750, 0.250, 0.750], [0.750, 0.750, 0.250], [0.000, 0.000, 0.500], [0.000, 0.500, 0.000], [0.500, 0.000, 0.000], [0.500, 0.500, 0.500], [0.250, 0.250, 0.750], [0.250, 0.750, 0.250], [0.750, 0.250, 0.250], [0.750, 0.750, 0.750]],
  "ef_ev_per_atom": 0.29,
  "e_tot_ev_per_atom": -5.521,
  "spacegroup": "F-43m (216)"
}


(13)
{
  "formula": "NaHoCdO3",
  "functional": "PBE",
  "state": "relaxed",
  "lattice_angstrom": [[1.770, -6.032, 0.000], [1.770, 6.032, 0.000], [0.000, 0.000, 8.867]],
  "species": ["Na", "Na", "Ho", "Ho", "Cd", "Cd", "O", "O", "O", "O", "O", "O"],
  "frac_coords": [[0.151, 0.849, 0.750], [0.849, 0.151, 0.250], [0.500, 0.500, 0.000], [0.500, 0.500, 0.500], [0.123, 0.877, 0.250], [0.877, 0.123, 0.750], [0.120, 0.880, 0.017], [0.120, 0.880, 0.483], [0.480, 0.520, 0.250], [0.520, 0.480, 0.750], [0.880, 0.120, 0.517], [0.880, 0.120, 0.983]],
  "e_tot_ev_per_atom": -5.605,
  "spacegroup": "Cmcm (63)"
}


no.,mass density (kg/m3)
1,11963
2,9081
3,8584
4,10567
5,3886
6,11445
7,9330
8,8254
9,5935
10,10234
11,9205
12,12570
13,6109